## Tl2NiC2O6 (PBE+U)

Data for an optimized crystal structure of Tl2NiC2O6.

abc: 5.0243 6.1544 6.8491
angles: 113.43 90.00 114.09
With the nearest neighbours (Å) after each atom.
Atoms (fractional coordinates):
C  0.9848  0.9696  0.6989  3 O 1.27-1.32
O  0.7244  0.8954  0.2698  1 C 1.32
O  0.8290  0.1046  0.7302  1 C 1.32
O  0.1388  0.2777  0.3545  1 C 1.27
O  0.1710  0.8954  0.2698  1 C 1.32
O  0.8612  0.7223  0.6455  1 C 1.27
Tl  0.3079  0.6158  0.8102  7 O 2.86-3.16
O  0.2756  0.1046  0.7302  1 C 1.32
Tl  0.6921  0.3842  0.1898  7 O 2.86-3.16
C  0.0152  0.0304  0.3011  3 O 1.27-1.32
Ni  0.5000  0.0000  0.5000  4 O 1.99

Summary:
* calculated density: 5.61 g cm⁻³
* SG: C2/m
* total DFT energy (no corrections): -6.20 eV per atom